(1)
Material: CoSe2Br
Method: DFT, PBE
State: optimized geometry

Unit cell a=7.3564 b=7.3564 c=3.3474 alpha=90.00 beta=90.00 gamma=142.44
Each line ends with the local moment (μB).
Positions (direct):
1 Br 0.5000 0.0000 0.5000  0.11
2 Co 0.0000 0.5000 0.5000  2.04
3 Se 0.0000 0.0000 0.0000  0.02
4 Se 0.5000 0.5000 0.0000  0.02

Results
E_form (uncorrected) (eV/atom): 0.68

---

(2)
Material: YSc3Pd
Method: DFT, PBE
State: optimized geometry

Unit cell a=5.1263 b=5.1263 c=5.1263 alpha=90.00 beta=90.00 gamma=90.00
Positions (direct):
1 Pd 0.0000 0.0000 0.0000
2 Y 0.5000 0.5000 0.5000
3 Sc 0.0000 0.5000 0.0000
4 Sc 0.5000 0.0000 0.0000
5 Sc 0.0000 0.0000 0.5000

Results
E_form (eV/atom): -0.123

---

(3)
Material: Ni2PPt
Method: DFT, PBE
State: optimized geometry

Unit cell a=5.2997 b=5.2997 c=3.4378 alpha=90.00 beta=90.00 gamma=148.08
Positions (direct):
1 Pt 0.6879 0.3121 0.5000
2 P 0.8436 0.1564 0.0000
3 Ni 0.0506 0.9494 0.0000
4 Ni 0.4206 0.5794 0.5000

Results
E_form (eV/atom): -0.278

---

(4)
Material: Y5TlIn2
Method: DFT, PBE
State: optimized geometry

Unit cell a=8.0484 b=8.0484 c=9.1970 alpha=115.95 beta=115.95 gamma=90.00
Positions (direct):
1 Y 0.9873 0.4873 0.3011
2 Y 0.5127 0.6862 0.6989
3 Y 0.4873 0.3138 0.3011
4 Y 0.1862 0.0127 0.6989
5 Tl 0.2500 0.2500 0.5000
6 Tl 0.7500 0.7500 0.5000
7 Y 0.8138 0.9873 0.3011
8 In 0.3690 0.8690 0.0000
9 In 0.6310 0.1310 0.0000
10 In 0.8690 0.6310 0.0000
11 Y 0.3138 0.8138 0.3011
12 Y 0.0000 0.0000 0.0000
13 Y 0.0127 0.5127 0.6989
14 Y 0.6862 0.1862 0.6989
15 In 0.1310 0.3690 0.0000
16 Y 0.5000 0.5000 0.0000

Results
E_form (eV/atom): -0.387

---

(5)
Material: Pm6Sm2Er3In
Method: DFT, PBE
State: optimized geometry

Unit cell a=6.1810 b=6.1810 c=11.8146 alpha=95.01 beta=95.01 gamma=120.09
Positions (direct):
1 Pm 0.7572 0.7572 0.2515
2 Pm 0.0834 0.4100 0.2508
3 Er 0.8328 0.1672 0.5000
4 In 0.0000 0.0000 0.0000
5 Pm 0.4100 0.0834 0.2508
6 Sm 0.3335 0.6665 0.0000
7 Er 0.5000 0.5000 0.5000
8 Pm 0.5900 0.9166 0.7492
9 Er 0.1672 0.8328 0.5000
10 Sm 0.6665 0.3335 0.0000
11 Pm 0.2428 0.2428 0.7485
12 Pm 0.9166 0.5900 0.7492

Results
E_form (eV/atom): -0.048

---

(6)
Material: Rb2Li2Cd
Method: DFT, PBE
State: optimized geometry

Unit cell a=7.9505 b=7.9505 c=6.3413 alpha=90.00 beta=90.00 gamma=90.00
Positions (direct):
1 Cd 0.5000 0.5000 0.0000
2 Rb 0.1887 0.6887 0.5000
3 Li 0.8542 0.6458 0.0000
4 Li 0.1458 0.3542 0.0000
5 Rb 0.3113 0.1887 0.5000
6 Cd 0.0000 0.0000 0.0000
7 Rb 0.8113 0.3113 0.5000
8 Li 0.3542 0.8542 0.0000
9 Li 0.6458 0.1458 0.0000
10 Rb 0.6887 0.8113 0.5000

Results
E_form (eV/atom): 0.102